Record 1
# YLuNb2 | the Open Quantum Materials Database | PBE | optimized geometry
# Energy of formation: 0.3269 eV per atom
# Crystal system: cubic
data_YLuNb2
_chemical_formula_sum 'Y4 Lu4 Nb8'
_cell_length_a 7.134
_cell_length_b 7.134
_cell_length_c 7.134
_cell_angle_alpha 90.00
_cell_angle_beta 90.00
_cell_angle_gamma 90.00
_space_group_name_H-M_alt 'F -4 3 m'
_space_group_IT_number 216
_space_group_name_Hall 'F -4 2 3'
loop_
_atom_site_label
_atom_site_type_symbol
_atom_site_fract_x
_atom_site_fract_y
_atom_site_fract_z
_atom_site_occupancy
Y1 Y 0.000 0.000 0.000 1
Lu1 Lu 0.250 0.250 0.250 1
Nb1 Nb 0.000 0.000 0.500 1
Nb2 Nb 0.250 0.250 0.750 1

Record 2
# Cu4Ag | the Open Quantum Materials Database | PBE | optimized geometry
# Energy of formation: 0.0714 eV per atom
# Offset from the most stable computed form: 27.4 meV per atom
# Crystal system: monoclinic
data_Cu4Ag
_chemical_formula_sum 'Cu8 Ag2'
_cell_length_a 8.728
_cell_length_b 2.677
_cell_length_c 6.460
_cell_angle_alpha 90.00
_cell_angle_beta 120.34
_cell_angle_gamma 90.00
_space_group_name_H-M_alt 'C 1 2/m 1'
_space_group_IT_number 12
_space_group_name_Hall '-C 2y'
loop_
_atom_site_label
_atom_site_type_symbol
_atom_site_fract_x
_atom_site_fract_y
_atom_site_fract_z
_atom_site_occupancy
Cu1 Cu 0.106 0.000 0.415 1
Cu2 Cu 0.191 0.500 0.789 1
Ag1 Ag 0.000 0.500 0.000 1

Record 3
# HfMgCu | the Open Quantum Materials Database | PBE | optimized geometry
# Crystal system: cubic
# Total DFT energy (no corrections): -50.8 eV for the cell shown
data_HfMgCu
_chemical_formula_sum 'Hf4 Mg4 Cu4'
_cell_length_a 6.257
_cell_length_b 6.257
_cell_length_c 6.257
_cell_angle_alpha 90.00
_cell_angle_beta 90.00
_cell_angle_gamma 90.00
_space_group_name_H-M_alt 'F -4 3 m'
_space_group_IT_number 216
_space_group_name_Hall 'F -4 2 3'
loop_
_atom_site_label
_atom_site_type_symbol
_atom_site_fract_x
_atom_site_fract_y
_atom_site_fract_z
_atom_site_occupancy
Hf1 Hf 0.000 0.000 0.000 1
Mg1 Mg 0.250 0.250 0.750 1
Cu1 Cu 0.000 0.000 0.500 1

Record 4
# PrSn2Pt3 | the Open Quantum Materials Database | PBE | optimized geometry
# Crystal system: orthorhombic
# Total DFT energy (no corrections): -143.1 eV for the cell shown
data_PrSn2Pt3
_chemical_formula_sum 'Pr4 Sn8 Pt12'
_cell_length_a 9.706
_cell_length_b 4.817
_cell_length_c 10.480
_cell_angle_alpha 90.00
_cell_angle_beta 90.00
_cell_angle_gamma 90.00
_space_group_name_H-M_alt 'P n m a'
_space_group_IT_number 62
_space_group_name_Hall '-P 2ac 2n'
loop_
_atom_site_label
_atom_site_type_symbol
_atom_site_fract_x
_atom_site_fract_y
_atom_site_fract_z
_atom_site_occupancy
Pr1 Pr 0.237 0.250 0.071 1
Sn1 Sn 0.022 0.250 0.626 1
Sn2 Sn 0.113 0.750 0.851 1
Pt1 Pt 0.023 0.750 0.093 1
Pt2 Pt 0.098 0.250 0.364 1
Pt3 Pt 0.248 0.750 0.270 1